--- a ---
The following is a GGA-PBE calculation of an optimized crystal structure of AgBC, from Alexandria.

Results
Volume   13.423 Å³/atom

The structure in POSCAR format:
```
AgBC
1.0
5.501 -0.010 -0.010
0.713 3.286 -0.004
-0.811 -3.217 4.458
Ag B C
2 2 2
direct
0.700 0.946 0.580 Ag
0.642 0.940 0.071 Ag
0.348 0.296 0.873 B
0.230 0.996 0.525 B
0.221 0.646 0.177 C
0.997 0.839 0.316 C
```


--- b ---
The following is a GGA-PBE calculation of an optimized crystal structure of AgBC, from Alexandria.

Results
Volume   12.968 Å³/atom

The structure in POSCAR format:
```
AgBC
1.0
5.632 0.009 -0.004
-0.327 4.425 -0.001
-0.947 -0.071 3.122
B C Ag
2 2 2
direct
0.702 0.804 0.411 B
0.812 0.468 0.465 B
0.688 0.148 0.404 C
0.462 0.981 0.290 C
0.218 0.196 0.669 Ag
0.080 0.677 0.100 Ag
```


--- c ---
The following is a GGA-PBE calculation of an optimized crystal structure of AgBC, from Alexandria.

Results
Volume   14.229 Å³/atom

The structure in POSCAR format:
```
AgBC
1.0
-6.316 0.963 -2.067
-2.307 -0.494 2.743
-0.092 3.727 0.595
B C Ag
2 2 2
direct
0.653 0.294 0.565 B
0.668 0.810 0.561 B
0.656 0.555 0.884 C
0.665 0.550 0.242 C
0.259 0.733 0.790 Ag
0.062 0.371 0.333 Ag
```


--- d ---
The following is a GGA-PBE calculation of an optimized crystal structure of AgBC, from Alexandria.

Results
Volume   16.384 Å³/atom

The structure in POSCAR format:
```
AgBC
1.0
4.438 0.009 0.003
1.442 4.192 0.000
-2.512 -2.705 5.285
C Ag B
2 2 2
direct
0.689 0.971 0.140 C
0.730 0.164 0.374 C
0.021 0.879 0.757 Ag
0.398 0.256 0.758 Ag
0.624 0.759 0.863 B
0.795 0.376 0.652 B
```


The structure with the greatest stability is c.


--- a ---
The following is a GGA-PBE calculation of an optimized crystal structure of AgBC, from Alexandria.

Results
Volume   11.056 Å³/atom

The structure in POSCAR format:
```
AgBC
1.0
0.000 2.550 2.550
2.550 0.000 2.550
2.550 2.550 0.000
Ag C B
1 1 1
direct
0.750 0.750 0.750 Ag
0.250 0.250 0.250 C
0.000 0.000 0.000 B
```


--- b ---
The following is a GGA-PBE calculation of an optimized crystal structure of AgBC, from Alexandria.

Results
Volume   14.012 Å³/atom

The structure in POSCAR format:
```
AgBC
1.0
6.623 -0.011 0.070
0.741 2.941 0.006
-0.649 -1.408 4.308
B C Ag
2 2 2
direct
0.480 0.010 0.211 B
0.079 0.405 0.968 B
0.078 0.902 0.964 C
0.263 0.087 0.090 C
0.497 0.711 0.636 Ag
0.741 0.325 0.114 Ag
```


The structure with the greatest stability is b.


--- a ---
The following is a GGA-PBE calculation of an optimized crystal structure of AgBC3, from Alexandria.

Results
Volume   14.176 Å³/atom

The structure in POSCAR format:
```
AgBC3
1.0
4.138 0.000 0.000
0.000 4.138 0.000
0.000 0.000 4.138
C Ag B
3 1 1
direct
0.000 0.000 0.500 C
0.000 0.500 0.000 C
0.500 0.000 0.000 C
0.000 0.000 0.000 Ag
0.500 0.500 0.500 B
```


--- b ---
The following is a GGA-PBE calculation of an optimized crystal structure of AgBC3, from Alexandria.

Results
Volume   9.173 Å³/atom

The structure in POSCAR format:
```
AgBC3
1.0
3.580 0.000 0.000
0.000 3.580 0.000
0.000 0.000 3.580
Ag C B
1 3 1
direct
0.500 0.500 0.500 Ag
0.000 0.000 0.500 C
0.500 0.000 0.000 C
0.000 0.500 0.000 C
0.000 0.000 0.000 B
```


The structure with the greatest stability is b.


--- a ---
The following is a GGA-PBE calculation of an optimized crystal structure of CrAg2BC, from Alexandria.

Results
Volume   17.995 Å³/atom

The structure in POSCAR format:
```
CrAg2BC
1.0
4.995 0.000 0.000
0.000 3.607 0.000
0.000 0.000 4.995
Ag C Cr B
2 1 1 1
direct
0.500 0.000 0.000 Ag
0.000 0.000 0.500 Ag
0.000 0.500 0.000 C
0.000 0.000 0.000 Cr
0.500 0.500 0.500 B
```


--- b ---
The following is a GGA-PBE calculation of an optimized crystal structure of CrAg2BC, from Alexandria.

Results
Volume   14.317 Å³/atom

The structure in POSCAR format:
```
CrAg2BC
1.0
-1.371 -1.697 3.679
1.697 -3.399 -0.935
3.602 1.268 1.927
C Cr Ag B
1 1 2 1
direct
0.000 0.000 0.000 C
0.000 0.500 0.000 Cr
0.500 0.000 0.000 Ag
0.000 0.000 0.500 Ag
0.500 0.500 0.500 B
```


The structure with the greatest stability is b.


--- a ---
The following is a GGA-PBE calculation of an optimized crystal structure of CaAgB3, from Alexandria.

Results
Volume   20.976 Å³/atom

The structure in POSCAR format:
```
CaAgB3
1.0
4.716 0.000 0.000
0.000 4.716 0.000
0.000 0.000 4.716
Ag B Ca
1 3 1
direct
0.500 0.500 0.500 Ag
0.000 0.500 0.000 B
0.500 0.000 0.000 B
0.000 0.000 0.500 B
0.000 0.000 0.000 Ca
```


--- b ---
The following is a GGA-PBE calculation of an optimized crystal structure of CaAgB3, from Alexandria.

Results
Volume   15.675 Å³/atom

The structure in POSCAR format:
```
CaAgB3
1.0
-3.373 -1.467 -2.187
2.432 -0.372 -3.502
1.010 -4.003 1.127
B Ca Ag
3 1 1
direct
0.000 0.500 0.000 B
0.500 0.000 0.000 B
0.000 0.000 0.500 B
0.500 0.500 0.500 Ca
0.000 0.000 0.000 Ag
```


The structure with the greatest stability is b.


--- a ---
The following is a GGA-PBE calculation of an optimized crystal structure of CdAgB3, from Alexandria.

Results
Volume   15.846 Å³/atom

The structure in POSCAR format:
```
CdAgB3
1.0
-1.446 0.019 4.044
-2.520 -3.363 -0.886
3.163 -2.671 1.144
B Ag Cd
3 1 1
direct
0.000 0.500 0.000 B
0.500 0.000 0.000 B
0.000 0.000 0.500 B
0.000 0.000 0.000 Ag
0.500 0.500 0.500 Cd
```


--- b ---
The following is a GGA-PBE calculation of an optimized crystal structure of CdAgB3, from Alexandria.

Results
Volume   17.165 Å³/atom

The structure in POSCAR format:
```
CdAgB3
1.0
4.411 0.000 0.000
0.000 4.411 0.000
0.000 0.000 4.411
Ag Cd B
1 1 3
direct
0.500 0.500 0.500 Ag
0.000 0.000 0.000 Cd
0.000 0.500 0.000 B
0.000 0.000 0.500 B
0.500 0.000 0.000 B
```


The structure with the greatest stability is a.


--- a ---
The following is a GGA-PBE calculation of an optimized crystal structure of CdAg3B, from Alexandria.

Results
Volume   27.749 Å³/atom

The structure in POSCAR format:
```
CdAg3B
1.0
-3.045 0.993 4.068
-4.159 -1.301 -2.795
0.487 -4.911 1.563
Ag Cd B
3 1 1
direct
0.000 0.500 0.000 Ag
0.500 0.000 0.000 Ag
0.000 0.000 0.500 Ag
0.000 0.000 0.000 Cd
0.500 0.500 0.500 B
```


--- b ---
The following is a GGA-PBE calculation of an optimized crystal structure of CdAg3B, from Alexandria.

Results
Volume   17.202 Å³/atom

The structure in POSCAR format:
```
CdAg3B
1.0
4.414 0.000 0.000
0.000 4.414 0.000
0.000 0.000 4.414
B Ag Cd
1 3 1
direct
0.000 0.000 0.000 B
0.000 0.000 0.500 Ag
0.000 0.500 0.000 Ag
0.500 0.000 0.000 Ag
0.500 0.500 0.500 Cd
```


The structure with the greatest stability is b.


--- a ---
The following is a GGA-PBE calculation of an optimized crystal structure of AgBCl2, from Alexandria.

Results
Volume   21.893 Å³/atom

The structure in POSCAR format:
```
AgBCl2
1.0
-8.301 -5.130 2.990
-6.313 -6.022 5.296
-7.910 -3.291 5.547
B Cl Ag
1 2 1
direct
0.000 0.000 0.000 B
0.945 0.945 0.945 Cl
0.055 0.055 0.055 Cl
0.500 0.500 0.500 Ag
```


--- b ---
The following is a GGA-PBE calculation of an optimized crystal structure of AgBCl2, from Alexandria.

Results
Volume   26.005 Å³/atom

The structure in POSCAR format:
```
AgBCl2
1.0
-3.923 2.232 -3.619
2.371 -2.939 -4.382
-4.569 -5.141 -2.842
Ag Cl B
2 4 2
direct
0.000 0.000 0.000 Ag
0.750 0.250 0.500 Ag
0.609 0.125 0.250 Cl
0.875 0.859 0.750 Cl
0.141 0.625 0.250 Cl
0.375 0.391 0.750 Cl
0.500 0.500 0.000 B
0.250 0.750 0.500 B
```


--- c ---
The following is a GGA-PBE calculation of an optimized crystal structure of AgBCl2, from Alexandria.

Results
Volume   18.784 Å³/atom

The structure in POSCAR format:
```
AgBCl2
1.0
3.539 -1.353 2.843
2.031 3.137 2.910
-0.703 -0.306 4.674
B Cl Ag
1 2 1
direct
0.000 0.000 0.000 B
0.750 0.750 0.750 Cl
0.250 0.250 0.250 Cl
0.500 0.500 0.500 Ag
```


The structure with the greatest stability is a.


--- a ---
The following is a GGA-PBE calculation of an optimized crystal structure of AgBCl3, from Alexandria.

Results
Volume   17.945 Å³/atom

The structure in POSCAR format:
```
AgBCl3
1.0
-3.907 2.186 0.037
-0.514 -0.991 4.336
2.125 3.779 1.115
Ag B Cl
1 1 3
direct
0.500 0.500 0.500 Ag
0.000 0.000 0.000 B
0.000 0.500 0.000 Cl
0.500 0.000 0.000 Cl
0.000 0.000 0.500 Cl
```


--- b ---
The following is a GGA-PBE calculation of an optimized crystal structure of AgBCl3, from Alexandria.

Results
Volume   25.308 Å³/atom

The structure in POSCAR format:
```
AgBCl3
1.0
5.020 0.000 0.000
0.000 5.020 0.000
0.000 0.000 5.020
Cl B Ag
3 1 1
direct
0.500 0.000 0.000 Cl
0.000 0.000 0.500 Cl
0.000 0.500 0.000 Cl
0.500 0.500 0.500 B
0.000 0.000 0.000 Ag
```


--- c ---
The following is a GGA-PBE calculation of an optimized crystal structure of AgBCl3, from Alexandria.

Results
Volume   22.284 Å³/atom

The structure in POSCAR format:
```
AgBCl3
1.0
-5.103 0.261 3.679
-2.031 -6.472 -2.359
5.035 -4.251 7.330
Ag Cl B
4 12 4
direct
0.431 0.935 0.743 Ag
0.569 0.065 0.257 Ag
0.931 0.565 0.243 Ag
0.069 0.435 0.757 Ag
0.830 0.266 0.413 Cl
0.164 0.010 0.285 Cl
0.330 0.234 0.913 Cl
0.764 0.277 0.046 Cl
0.836 0.990 0.715 Cl
0.664 0.490 0.785 Cl
0.736 0.777 0.454 Cl
0.236 0.723 0.954 Cl
0.336 0.510 0.215 Cl
0.170 0.734 0.587 Cl
0.264 0.223 0.546 Cl
0.670 0.766 0.087 Cl
0.448 0.591 0.046 B
0.552 0.409 0.954 B
0.948 0.909 0.546 B
0.052 0.091 0.454 B
```


The structure with the greatest stability is c.


--- a ---
The following is a GGA-PBE calculation of an optimized crystal structure of Ag2BCl6, from Alexandria.

Results
Volume   29.397 Å³/atom

The structure in POSCAR format:
```
Ag2BCl6
1.0
-3.452 -2.039 5.861
-5.107 -2.876 -4.009
5.209 -9.109 -0.100
Ag Cl B
4 12 2
direct
0.000 0.000 0.334 Ag
0.500 0.500 0.166 Ag
0.000 0.000 0.666 Ag
0.500 0.500 0.834 Ag
0.820 0.180 0.500 Cl
0.359 0.359 0.630 Cl
0.680 0.680 0.000 Cl
0.641 0.641 0.370 Cl
0.641 0.641 0.630 Cl
0.180 0.820 0.500 Cl
0.320 0.320 0.000 Cl
0.359 0.359 0.370 Cl
0.859 0.141 0.870 Cl
0.141 0.859 0.870 Cl
0.141 0.859 0.130 Cl
0.859 0.141 0.130 Cl
0.500 0.500 0.500 B
0.000 0.000 0.000 B
```


--- b ---
The following is a GGA-PBE calculation of an optimized crystal structure of Ag2BCl6, from Alexandria.

Results
Volume   32.331 Å³/atom

The structure in POSCAR format:
```
Ag2BCl6
1.0
7.524 0.122 2.612
3.676 8.603 0.969
0.897 0.576 9.345
Ag Cl B
4 12 2
direct
0.013 0.303 0.207 Ag
0.513 0.207 0.303 Ag
0.487 0.793 0.697 Ag
0.987 0.697 0.793 Ag
0.026 0.241 0.929 Cl
0.306 0.420 0.751 Cl
0.696 0.644 0.844 Cl
0.806 0.751 0.420 Cl
0.304 0.356 0.156 Cl
0.474 0.071 0.759 Cl
0.194 0.249 0.580 Cl
0.974 0.759 0.071 Cl
0.694 0.580 0.249 Cl
0.526 0.929 0.241 Cl
0.804 0.156 0.356 Cl
0.196 0.844 0.644 Cl
0.250 0.245 0.755 B
0.750 0.755 0.245 B
```


The structure with the greatest stability is b.


--- a ---
The following is a GGA-PBE calculation of an optimized crystal structure of AgB2Cl, from Alexandria.

Results
Volume   16.641 Å³/atom

The structure in POSCAR format:
```
AgB2Cl
1.0
5.330 0.000 0.000
0.000 5.330 0.000
2.665 2.665 4.686
B Ag Cl
4 2 2
direct
0.106 0.625 0.250 B
0.644 0.125 0.250 B
0.875 0.894 0.750 B
0.375 0.356 0.750 B
0.000 0.000 0.000 Ag
0.750 0.250 0.500 Ag
0.500 0.500 0.000 Cl
0.250 0.750 0.500 Cl
```


--- b ---
The following is a GGA-PBE calculation of an optimized crystal structure of AgB2Cl, from Alexandria.

Results
Volume   15.123 Å³/atom

The structure in POSCAR format:
```
AgB2Cl
1.0
0.000 3.116 3.116
3.116 0.000 3.116
3.116 3.116 0.000
Ag B Cl
1 2 1
direct
0.500 0.500 0.500 Ag
0.250 0.250 0.250 B
0.750 0.750 0.750 B
0.000 0.000 0.000 Cl
```


The structure with the greatest stability is a.